Here is a relaxed structure of BeTl2Te from Alexandria. Energies are from PBE.

```
BeTl2Te
1.0
1.939 1.120 8.510
-1.939 1.120 8.510
0.000 -2.239 8.510
Be Tl Te
1 2 1
Direct
0.000 0.000 0.000
0.520 0.520 0.520
0.748 0.748 0.748
0.299 0.299 0.299
```

Values from the calculation:
* uncorrected formation energy: 16 meV/atom
* distance to the lowest polymorph of the same formula: 0 meV/atom
* space group: R3m, No. 160